PaFeCuNi: relaxed, PBE-GGA.

Results
V: 14.95 Å³ per atom
theoretical density: 11.36 g cm⁻³
uncorrected energy: -6.957 eV/atom

Cell: 6.207 6.207 6.207 Å, 90.00 90.00 90.00°
Space group F-43m (No. 216)
Unique sites:
1 Pa 0.000 0.000 0.000 (multiplicity 4)
2 Fe 0.250 0.250 0.750 (multiplicity 4)
3 Cu 0.000 0.000 0.500 (multiplicity 4)
4 Ni 0.250 0.250 0.250 (multiplicity 4)